1.
DFT (PBE-GGA) results for a relaxed structure of LiScNiB.

- total magnetization (μB/cell) = 0.01
- ΔE to the lowest computed polymorph (meV per atom) = 183.7
- energy (eV/atom) = -5.040

Cell: 5.860 5.860 5.860 Å, 90.00 90.00 90.00°
Space group F-43m (No. 216)
One atom of each set of equivalent atoms:
1 Li 0.000 0.000 0.000 [4 per cell]
2 Sc 0.000 0.000 0.500 [4 per cell]
3 Ni 0.250 0.250 0.250 [4 per cell]
4 B 0.250 0.250 0.750 [4 per cell]



2.
DFT (PBE-GGA) results for a relaxed structure of BaHgB4.

- ΔE to the lowest computed polymorph (meV per atom) = 259.9
- energy (eV/atom) = -4.182

Cell: 3.2157 3.2157 9.0057 Å, 90.00 90.00 120.00°
Space group P6/mmm (No. 191)
One atom of each set of equivalent atoms:
1 Ba 0.0000 0.0000 0.0000 [1 per cell]
2 Hg 0.0000 0.0000 0.5000 [1 per cell]
3 B 0.3333 0.6667 0.2737 [4 per cell]



3.
DFT (PBE-GGA) results for a relaxed structure of Sm2Ni.

- total magnetization (μB/cell) = 0.09
- formation energy (eV/atom) = 0.9019
- energy (eV/atom) = -4.095

Cell: 8.511 8.511 8.511 Å, 90.00 90.00 90.00°
Space group Fd-3m (No. 227, origin choice 2)
One atom of each set of equivalent atoms:
1 Sm 0.000 0.000 0.000 [16 per cell]
2 Ni 0.125 0.125 0.625 [8 per cell]